# CrMoNO2

CrMoNO2 after structural relaxation (GGA+U, Alexandria).

Output
**N(E_F)**: 0.43 states/eV/atom
**E**: -6.829 eV/atom

Cell lengths 3.819, 3.819, 3.840 Å; angles 90.00, 90.00, 90.00 degrees
Fractional coordinates of all 5 atoms:
Cr1 0.000 0.000 0.000
Mo1 0.500 0.500 0.500
N1 0.000 0.000 0.500
O1 0.000 0.500 0.000
O2 0.500 0.000 0.000